Record 1
First-principles (GGA-PBE) data for a relaxed structure of CdReSb, as listed in the Alexandria database.

Properties
Relative energy among the computed polymorphs: 0.177 eV per atom
Formation energy without anion corrections: 0.680 eV/atom

Cell lengths 3.087, 5.098, 16.973 Å; angles 90.00, 90.00, 90.00 degrees
Space group Fmm2 (No. 42)
One atom of each set of equivalent atoms:
Cd 0.000 0.000 0.000 x4
Re 0.000 0.000 0.644 x4
Sb 0.000 0.000 0.276 x4


Record 2
First-principles (GGA-PBE) data for a relaxed structure of Tb5Ho12Er2, as listed in the Alexandria database.

Properties
DFT formation energy: 0.0892 eV per atom
Relative energy among the computed polymorphs: 0.000 eV per atom

Cell lengths 6.444, 8.801, 11.329 Å; angles 109.69, 92.97, 97.93 degrees
Space group P-1 (No. 2)
One atom of each set of equivalent atoms:
Tb 0.000 0.000 0.000 x1
Tb 0.195 0.988 0.697 x2
Tb 0.487 0.609 0.281 x2
Ho 0.033 0.741 0.370 x2
Ho 0.053 0.344 0.231 x2
Ho 0.223 0.401 0.959 x2
Ho 0.296 0.827 0.139 x2
Ho 0.336 0.128 0.423 x2
Ho 0.475 0.802 0.863 x2
Er 0.263 0.554 0.539 x2


Record 3
First-principles (GGA-PBE) data for a relaxed structure of PaGaSbAu, as listed in the Alexandria database.

Properties
Formation energy without anion corrections: -0.205 eV/atom

Cell lengths 7.174, 7.174, 7.174 Å; angles 90.00, 90.00, 90.00 degrees
Space group F-43m (No. 216)
One atom of each set of equivalent atoms:
Pa 0.000 0.000 0.000 x4
Ga 0.000 0.000 0.500 x4
Sb 0.250 0.250 0.750 x4
Au 0.250 0.250 0.250 x4


Record 4
First-principles (GGA-PBE) data for a relaxed structure of Ag2SbPd2, as listed in the Alexandria database.

Properties
Relative energy among the computed polymorphs: 0.124 eV per atom
Formation energy without anion corrections: 0.025 eV/atom

Cell lengths 7.719, 7.719, 3.131 Å; angles 90.00, 90.00, 90.00 degrees
Space group P4/mbm (No. 127)
One atom of each set of equivalent atoms:
Ag 0.130 0.370 0.000 x4
Sb 0.000 0.000 0.000 x2
Pd 0.166 0.666 0.500 x4


Record 5
First-principles (GGA-PBE) data for a relaxed structure of MnHRu, as listed in the Alexandria database.

Properties
Relative energy among the computed polymorphs: 0.022 eV per atom

Cell lengths 2.690, 9.788, 4.064 Å; angles 90.00, 90.00, 90.00 degrees
Space group Cmcm (No. 63)
One atom of each set of equivalent atoms:
Mn 0.000 0.071 0.250 x4
H 0.000 0.500 0.000 x4
Ru 0.000 0.324 0.250 x4


Record 6
First-principles (GGA-PBE) data for a relaxed structure of BRhO3, as listed in the Alexandria database.

Properties
Formation energy without anion corrections: 0.674 eV/atom

Cell lengths 3.828, 3.828, 3.828 Å; angles 90.00, 90.00, 90.00 degrees
Space group Pm-3m (No. 221)
One atom of each set of equivalent atoms:
B 0.000 0.000 0.000 x1
Rh 0.500 0.500 0.500 x1
O 0.000 0.500 0.500 x3


Record 7
First-principles (GGA-PBE) data for a relaxed structure of CePrBr6, as listed in the Alexandria database.

Properties
Relative energy among the computed polymorphs: 0.000 eV per atom
Formation energy without anion corrections: -1.809 eV/atom

Cell lengths 7.297, 13.059, 7.298 Å; angles 90.00, 106.22, 90.00 degrees
Space group C2/m (No. 12)
One atom of each set of equivalent atoms:
Ce 0.000 0.000 0.000 x2
Pr 0.000 0.500 0.500 x2
Br 0.247 0.500 0.247 x4
Br 0.248 0.150 0.252 x8


Record 8
First-principles (GGA-PBE) data for a relaxed structure of HfTaNi10, as listed in the Alexandria database.

Properties
DFT formation energy: -0.1703 eV per atom

Cell lengths 3.964, 4.680, 8.090 Å; angles 90.00, 90.00, 90.00 degrees
Space group Pmmm (No. 47)
One atom of each set of equivalent atoms:
Hf 0.000 0.000 0.000 x1
Ta 0.000 0.500 0.500 x1
Ni 0.000 0.000 0.337 x2
Ni 0.000 0.500 0.171 x2
Ni 0.500 0.000 0.500 x1
Ni 0.500 0.252 0.253 x4
Ni 0.500 0.500 0.000 x1


Record 9
First-principles (GGA-PBE) data for a relaxed structure of TcBi3Br, as listed in the Alexandria database.

Properties
Relative energy among the computed polymorphs: 0.000 eV per atom
Formation energy without anion corrections: 0.352 eV/atom

Cell lengths 5.371, 5.371, 5.371 Å; angles 90.00, 90.00, 90.00 degrees
Space group Pm-3m (No. 221)
One atom of each set of equivalent atoms:
Tc 0.000 0.000 0.000 x1
Bi 0.000 0.000 0.500 x3
Br 0.500 0.500 0.500 x1


Record 10
First-principles (GGA-PBE) data for a relaxed structure of PmGdAs2, as listed in the Alexandria database.

Properties
DFT formation energy: -1.5305 eV per atom
Relative energy among the computed polymorphs: 0.000 eV per atom

Cell lengths 4.2055, 4.2055, 20.5787 Å; angles 90.00, 90.00, 120.00 degrees
Space group R-3m (No. 166, hexagonal axes)
One atom of each set of equivalent atoms:
Pm 0.0000 0.0000 0.0000 x3
Gd 0.0000 0.0000 0.5000 x3
As 0.0000 0.0000 0.2483 x6


Record 11
First-principles (GGA-PBE) data for a relaxed structure of CsNa2Sb2H2, as listed in the Alexandria database.

Properties
Electronic total energy: -2.77 eV per atom

Cell lengths 6.534, 6.226, 10.288 Å; angles 90.00, 108.14, 90.00 degrees
Space group C2/m (No. 12)
One atom of each set of equivalent atoms:
Cs 0.000 0.000 0.000 x2
Na 0.247 0.500 0.620 x4
Sb 0.209 0.500 0.295 x4
H 0.006 0.500 0.135 x4


Record 12
First-principles (GGA-PBE) data for a relaxed structure of CaPr3O, as listed in the Alexandria database.

Properties
Formation energy without anion corrections: -1.037 eV/atom

Cell lengths 5.189, 5.189, 5.189 Å; angles 90.00, 90.00, 90.00 degrees
Space group Pm-3m (No. 221)
One atom of each set of equivalent atoms:
Ca 0.000 0.000 0.000 x1
Pr 0.000 0.500 0.500 x3
O 0.500 0.500 0.500 x1